# 1
Cd2CoAs | PBE | relaxed

Values from the calculation:
The value obtained for the formation enthalpy at 0 K is 0.33 eV/atom. The mass density comes out at 8.3 g/cm³.

abc: 4.1274 4.1274 4.2277
angles: 90.00 90.00 90.00
Last column: nearest neighbours and their distance in Å.
Space group P4/mmm (No. 123)
Inequivalent atoms, fractional coordinates:
Cd 0.0000 0.5000 0.0000 (multiplicity 2)  4 Cd 2.92, 4 As 2.95, 4 Co 2.95
Co 0.0000 0.0000 0.5000 (multiplicity 1)  4 As 2.92, 8 Cd 2.95
As 0.5000 0.5000 0.5000 (multiplicity 1)  4 Co 2.92, 8 Cd 2.95


# 2
Cd2CoAs | PBE | relaxed

Values from the calculation:
The value obtained for the formation enthalpy at 0 K is 0.36 eV/atom. The mass density comes out at 8.1 g/cm³.

abc: 3.0647 3.0647 27.2279
angles: 90.00 90.00 120.00
Last column: nearest neighbours and their distance in Å.
Space group R-3m (No. 166, hexagonal axes)
Inequivalent atoms, fractional coordinates:
Cd 0.0000 0.0000 0.2428 (multiplicity 6)  3 Co 2.73, 3 As 3.03
Co 0.0000 0.0000 0.5000 (multiplicity 3)  6 Cd 2.73
As 0.0000 0.0000 0.0000 (multiplicity 3)  6 Cd 3.03, 6 As 3.06


# 3
CdCoAs | PBE | relaxed

Values from the calculation:
The calculation puts the polymorph energy (0 for the lowest one) at 0.063 eV per atom. The value obtained for the formation enthalpy at 0 K is 0.08 eV/atom. The mass density comes out at 7.8 g/cm³.

abc: 3.9354 3.9354 3.9211
angles: 90.00 90.00 120.00
Last column: nearest neighbours and their distance in Å.
Space group P-6m2 (No. 187)
Inequivalent atoms, fractional coordinates:
Cd 0.0000 0.0000 0.0000 (multiplicity 1)  6 As 3.00, 6 Co 3.00
Co 0.6667 0.3333 0.5000 (multiplicity 1)  3 As 2.27
As 0.3333 0.6667 0.5000 (multiplicity 1)  3 Co 2.27


# 4
CdCo3As | PBE | relaxed

Values from the calculation:
The calculation puts the polymorph energy (0 for the lowest one) at 0.000 eV per atom. The value obtained for the formation enthalpy at 0 K is 0.51 eV/atom. The mass density comes out at 7.4 g/cm³.

abc: 4.3388 4.3388 4.3388
angles: 90.00 90.00 90.00
Last column: nearest neighbours and their distance in Å.
Space group Pm-3m (No. 221)
Inequivalent atoms, fractional coordinates:
Cd 0.0000 0.0000 0.0000 (multiplicity 1)  12 Co 3.07
Co 0.0000 0.5000 0.5000 (multiplicity 3)  2 As 2.17
As 0.5000 0.5000 0.5000 (multiplicity 1)  6 Co 2.17


# 5
CdCoAs | PBE | relaxed

Values from the calculation:
The calculation puts the polymorph energy (0 for the lowest one) at 0.121 eV per atom. The value obtained for the formation enthalpy at 0 K is 0.14 eV/atom. The mass density comes out at 7.7 g/cm³.

abc: 5.9564 5.9564 5.9564
angles: 90.00 90.00 90.00
Last column: nearest neighbours and their distance in Å.
Space group F-43m (No. 216)
Inequivalent atoms, fractional coordinates:
Cd 0.0000 0.0000 0.0000 (multiplicity 4)  4 Co 2.58
Co 0.2500 0.2500 0.7500 (multiplicity 4)  4 Cd 2.58, 4 As 2.58
As 0.0000 0.0000 0.5000 (multiplicity 4)  4 Co 2.58


# 6
CdCo4As | PBE | relaxed

Values from the calculation:
The value obtained for the formation enthalpy at 0 K is 0.30 eV/atom. The mass density comes out at 8.5 g/cm³.

abc: 6.9199 6.9199 6.9199
angles: 90.00 90.00 90.00
Last column: nearest neighbours and their distance in Å.
Space group F-43m (No. 216)
Inequivalent atoms, fractional coordinates:
Cd 0.0000 0.0000 0.0000 (multiplicity 4)  12 Co 2.87, 4 As 3.00
Co 0.1247 0.1247 0.6247 (multiplicity 16)  6 Co 2.44-2.45
As 0.2500 0.2500 0.2500 (multiplicity 4)  12 Co 2.87, 4 Cd 3.00


# 7
CdCoAs2 | PBE | relaxed

Values from the calculation:
The value obtained for the formation enthalpy at 0 K is -0.03 eV/atom. The mass density comes out at 7.2 g/cm³.

abc: 6.1437 3.5451 7.1138
angles: 90.00 106.44 90.00
Last column: nearest neighbours and their distance in Å.
Space group C2/m (No. 12)
Inequivalent atoms, fractional coordinates:
Cd 0.0000 0.0000 0.0000 (multiplicity 2)  6 As 3.00-3.01
Co 0.0000 0.5000 0.5000 (multiplicity 2)  6 As 2.38
As 0.2248 0.0000 0.6770 (multiplicity 4)  3 Co 2.38


# 8
Cd2CoAs | PBE | relaxed

Values from the calculation:
The value obtained for the formation enthalpy at 0 K is 0.35 eV/atom. The mass density comes out at 8.2 g/cm³.

abc: 5.6032 8.5230 3.0494
angles: 90.00 90.00 90.00
Last column: nearest neighbours and their distance in Å.
Space group Cmmm (No. 65)
Inequivalent atoms, fractional coordinates:
Cd 0.2500 0.2500 0.0000 (multiplicity 4)  4 Cd 2.80-3.05, 4 As 2.97, 4 Co 2.97
Co 0.0000 0.0000 0.5000 (multiplicity 2)  2 As 2.80, 8 Cd 2.97, 2 Co 3.05
As 0.0000 0.5000 0.5000 (multiplicity 2)  2 Co 2.80, 8 Cd 2.97, 2 As 3.05